1.
A relaxed La2Nd6SmDy3 crystal. Source: the Alexandria database, functional PBE.

Cell lengths 6.3414, 6.3414, 12.0906 Å; angles 95.02, 95.02, 120.02 degrees
Last column: nearest neighbours and their distance in Å.
Atoms (fractional coordinates):
La (0.1667, 0.8333, 0.0000)  3 La 3.66, 3 Sm 3.66, 6 Nd 3.70
La (0.8333, 0.1667, 0.0000)  3 La 3.66, 3 Sm 3.66, 6 Nd 3.70
Nd (0.0818, 0.4145, 0.7449)  3 Dy 3.60, 6 Nd 3.65-3.67, 1 Sm 3.70, 2 La 3.70
Nd (0.2526, 0.2526, 0.2552)  3 Dy 3.60, 6 Nd 3.65-3.67, 1 Sm 3.70, 2 La 3.70
Nd (0.4145, 0.0818, 0.7449)  3 Dy 3.60, 6 Nd 3.65-3.67, 1 Sm 3.70, 2 La 3.70
Nd (0.5855, 0.9182, 0.2551)  3 Dy 3.60, 6 Nd 3.65-3.67, 1 Sm 3.70, 2 La 3.70
Nd (0.7474, 0.7474, 0.7448)  3 Dy 3.60, 6 Nd 3.65-3.67, 1 Sm 3.70, 2 La 3.70
Nd (0.9182, 0.5855, 0.2551)  3 Dy 3.60, 6 Nd 3.65-3.67, 1 Sm 3.70, 2 La 3.70
Sm (0.5000, 0.5000, 0.0000)  6 La 3.66, 6 Nd 3.70
Dy (0.0000, 0.0000, 0.5000)  6 Nd 3.60, 6 Dy 3.66-3.67
Dy (0.3336, 0.6664, 0.5000)  6 Nd 3.60, 6 Dy 3.65-3.67
Dy (0.6664, 0.3336, 0.5000)  6 Nd 3.60, 6 Dy 3.65-3.67

Output
The calculation puts the electronic total energy at -56.8 eV for the cell shown. The crystal system is monoclinic.

---

2.
A relaxed TmB2Pb2O6 crystal. Source: the Alexandria database, functional PBE.

Cell lengths 5.5158, 5.5158, 8.2371 Å; angles 116.45, 116.45, 57.54 degrees
Last column: nearest neighbours and their distance in Å.
Atoms (fractional coordinates):
Tm (0.0000, 0.0000, 0.0000)  6 O 2.22-2.24
B (0.3921, 0.3921, 0.1850)  3 O 1.39
B (0.6079, 0.6079, 0.8150)  3 O 1.39
Pb (0.1751, 0.1751, 0.7052)  4 O 2.44-2.73
Pb (0.8249, 0.8249, 0.2948)  4 O 2.44-2.73
O (0.2281, 0.6846, 0.1743)  1 B 1.39
O (0.2630, 0.2630, 0.2145)  1 B 1.39
O (0.3154, 0.7719, 0.8257)  1 B 1.39
O (0.6846, 0.2281, 0.1743)  1 B 1.39
O (0.7370, 0.7370, 0.7855)  1 B 1.39
O (0.7719, 0.3154, 0.8257)  1 B 1.39

Output
The calculation puts the electronic total energy at -79.4 eV for the cell shown. Its formation energy without anion corrections is -2.219 eV/atom. The crystal system is monoclinic.

---

3.
A relaxed TlCoTc3 crystal. Source: the Alexandria database, functional PBE.

Cell lengths 4.4644, 4.4644, 4.4644 Å; angles 90.00, 90.00, 90.00 degrees
Last column: nearest neighbours and their distance in Å.
Atoms (fractional coordinates):
Tl (0.0000, 0.0000, 0.0000)  12 Tc 3.16
Co (0.5000, 0.5000, 0.5000)  6 Tc 2.23
Tc (0.0000, 0.5000, 0.5000)  2 Co 2.23
Tc (0.5000, 0.0000, 0.5000)  2 Co 2.23
Tc (0.5000, 0.5000, 0.0000)  2 Co 2.23

Output
The calculation puts the electronic total energy at -34.1 eV for the cell shown. As for the polymorph energy (0 for the lowest one): 0 meV per atom. The crystal system is cubic.

---

4.
A relaxed Li2YW crystal. Source: the Alexandria database, functional PBE.

Cell lengths 4.6726, 4.6726, 3.2110 Å; angles 90.00, 90.00, 90.00 degrees
Last column: nearest neighbours and their distance in Å.
Atoms (fractional coordinates):
Li (0.0000, 0.5000, 0.0000)  4 W 2.83, 4 Y 2.83
Li (0.5000, 0.0000, 0.0000)  4 W 2.83, 4 Y 2.83
Y (0.0000, 0.0000, 0.5000)  8 Li 2.83
W (0.5000, 0.5000, 0.5000)  8 Li 2.83

Output
The calculation puts the electronic total energy at -20.3 eV for the cell shown. As for the polymorph energy (0 for the lowest one): 291 meV per atom. The crystal system is tetragonal.

---

5.
A relaxed InSiAg2 crystal. Source: the Alexandria database, functional PBE.

Cell lengths 6.7865, 6.7865, 6.7865 Å; angles 90.00, 90.00, 90.00 degrees
Last column: nearest neighbours and their distance in Å.
Atoms (fractional coordinates):
In (0.0000, 0.0000, 0.0000)  4 Si 2.94, 4 Ag 2.94
In (0.0000, 0.5000, 0.5000)  4 Si 2.94, 4 Ag 2.94
In (0.5000, 0.0000, 0.5000)  4 Si 2.94, 4 Ag 2.94
In (0.5000, 0.5000, 0.0000)  4 Si 2.94, 4 Ag 2.94
Si (0.2500, 0.2500, 0.2500)  4 Ag 2.94, 4 In 2.94
Si (0.2500, 0.7500, 0.7500)  4 In 2.94, 4 Ag 2.94
Si (0.7500, 0.2500, 0.7500)  4 In 2.94, 4 Ag 2.94
Si (0.7500, 0.7500, 0.2500)  4 In 2.94, 4 Ag 2.94
Ag (0.0000, 0.0000, 0.5000)  4 Ag 2.94, 4 Si 2.94
Ag (0.0000, 0.5000, 0.0000)  4 Ag 2.94, 4 Si 2.94
Ag (0.2500, 0.2500, 0.7500)  4 In 2.94, 4 Ag 2.94
Ag (0.2500, 0.7500, 0.2500)  4 In 2.94, 4 Ag 2.94
Ag (0.5000, 0.0000, 0.0000)  4 Ag 2.94, 4 Si 2.94
Ag (0.5000, 0.5000, 0.5000)  4 Ag 2.94, 4 Si 2.94
Ag (0.7500, 0.2500, 0.2500)  4 In 2.94, 4 Ag 2.94
Ag (0.7500, 0.7500, 0.7500)  4 In 2.94, 4 Ag 2.94

Output
The calculation puts the electronic total energy at -50.4 eV for the cell shown. Its formation energy without anion corrections is 0.319 eV/atom. The crystal system is cubic.

---

6.
A relaxed NaOsRu2W crystal. Source: the Alexandria database, functional PBE.

Cell lengths 4.6455, 4.6455, 4.8143 Å; angles 90.00, 90.00, 90.00 degrees
Last column: nearest neighbours and their distance in Å.
Atoms (fractional coordinates):
Na (0.0000, 0.0000, 0.0000)  2 Os 2.41
Os (0.0000, 0.0000, 0.5000)  4 Ru 2.32, 2 Na 2.41
Ru (0.0000, 0.5000, 0.5000)  2 Os 2.32
Ru (0.5000, 0.0000, 0.5000)  2 Os 2.32
W (0.5000, 0.5000, 0.0000)  4 Na 3.28, 8 Ru 3.35

Output
The calculation puts the electronic total energy at -33.1 eV for the cell shown. As for the polymorph energy (0 for the lowest one): 0 meV per atom. The crystal system is tetragonal.

---

7.
A relaxed Ba12ZnIn6 crystal. Source: the Alexandria database, functional PBE.

Cell lengths 10.1923, 10.1923, 10.1923 Å; angles 99.57, 99.57, 99.57 degrees
Last column: nearest neighbours and their distance in Å.
Atoms (fractional coordinates):
Ba (0.0496, 0.6799, 0.9375)  1 Zn 3.36, 2 In 3.56-3.58
Ba (0.0625, 0.9504, 0.3201)  1 Zn 3.36, 2 In 3.56-3.58
Ba (0.1771, 0.4337, 0.5815)  4 In 3.50-3.71
Ba (0.3201, 0.0625, 0.9504)  1 Zn 3.36, 2 In 3.56-3.58
Ba (0.4185, 0.8229, 0.5663)  4 In 3.50-3.71
Ba (0.4337, 0.5815, 0.1771)  4 In 3.50-3.71
Ba (0.5663, 0.4185, 0.8229)  4 In 3.50-3.71
Ba (0.5815, 0.1771, 0.4337)  4 In 3.50-3.71
Ba (0.6799, 0.9375, 0.0496)  1 Zn 3.36, 2 In 3.56-3.58
Ba (0.8229, 0.5663, 0.4185)  4 In 3.50-3.71
Ba (0.9375, 0.0496, 0.6799)  1 Zn 3.36, 2 In 3.56-3.58
Ba (0.9504, 0.3201, 0.0625)  1 Zn 3.36, 2 In 3.56-3.58
Zn (0.0000, 0.0000, 0.0000)  6 Ba 3.36
In (0.1363, 0.6173, 0.2966)  7 Ba 3.50-3.80
In (0.2966, 0.1363, 0.6173)  7 Ba 3.50-3.80
In (0.3827, 0.7034, 0.8637)  7 Ba 3.50-3.80
In (0.6173, 0.2966, 0.1363)  7 Ba 3.50-3.80
In (0.7034, 0.8637, 0.3827)  7 Ba 3.50-3.80
In (0.8637, 0.3827, 0.7034)  7 Ba 3.50-3.80

Output
The calculation puts the electronic total energy at -43.1 eV for the cell shown. The crystal system is trigonal.

---

8.
A relaxed CrCdAu2 crystal. Source: the Alexandria database, functional PBE.

Cell lengths 4.1347, 4.1347, 8.4480 Å; angles 90.00, 90.00, 90.00 degrees
Last column: nearest neighbours and their distance in Å.
Atoms (fractional coordinates):
Cr (0.0000, 0.0000, 0.0000)  8 Au 2.92-2.96, 4 Cd 2.96
Cr (0.5000, 0.5000, 0.5000)  8 Au 2.92-2.96, 4 Cd 2.96
Cd (0.0000, 0.5000, 0.7500)  8 Au 2.92-2.96, 4 Cr 2.96
Cd (0.5000, 0.0000, 0.2500)  8 Au 2.92-2.96, 4 Cr 2.96
Au (0.0000, 0.0000, 0.5000)  4 Cr 2.92, 4 Cd 2.96, 4 Au 2.96
Au (0.0000, 0.5000, 0.2500)  4 Cd 2.92, 4 Cr 2.96, 4 Au 2.96
Au (0.5000, 0.0000, 0.7500)  4 Cd 2.92, 4 Cr 2.96, 4 Au 2.96
Au (0.5000, 0.5000, 0.0000)  4 Cr 2.92, 4 Cd 2.96, 4 Au 2.96

Output
The calculation puts the electronic total energy at -34.1 eV for the cell shown. The crystal system is tetragonal.

---

Total magnetization: 0.00, 0.64, 0.09, 0.00, 0.00, 2.92, 0.00, 4.13 (μB per formula unit)